## Te2MoPt (meta-GGA SCAN)

Data for a crystal of Te2MoPt relaxed with PBEsol.

Cell: 3.516 3.516 7.082 Å, 90.00 90.00 90.00°
Sites, in units of the cell vectors:
Te 0.000 0.000 0.899
Te 0.500 0.500 0.341
Pt 0.500 0.500 0.738
Mo 0.000 0.000 0.523

=====

## Te2MoPt (meta-GGA SCAN)

Data for a crystal of Te2MoPt relaxed with PBEsol.

Cell: 3.530 3.530 8.784 Å, 78.41 78.41 60.00°
Sites, in units of the cell vectors:
Te 0.901 0.901 0.298
Te 0.099 0.099 0.702
Mo 0.000 0.000 0.000
Pt 0.500 0.500 0.500

=====

Number 1: relative energy among the computed polymorphs 0.0000 eV/atom. Number 2: relative energy among the computed polymorphs 0.6217 eV/atom.